First-principles (meta-GGA SCAN) data for a PBEsol-optimized structure of MgCdOs2, as listed in Alexandria.

Calculated values
- Raw total energy: -354.63 eV/cell
- Symmetry: No. 71
- Energy above the lowest structure with this stoichiometry: 0.370 eV per atom
- ΔE_f: 0.458 eV per atom
- Fermi-level density of states: 5.8 states/eV per cell

Lattice parameters (Å, degrees): 2.9324 4.5734 9.3265 90.00 90.00 90.00
With the nearest neighbours (Å) after each atom.
Fractional coordinates of all 8 atoms:
1 Mg 0.0000 0.0000 0.0000  4 Cd 2.72, 4 Os 2.73, 2 Mg 2.93
2 Mg 0.5000 0.5000 0.5000  4 Cd 2.72, 4 Os 2.73, 2 Mg 2.93
3 Cd 0.0000 0.0000 0.5000  4 Mg 2.72, 4 Os 2.78, 2 Cd 2.93
4 Cd 0.5000 0.5000 0.0000  4 Mg 2.72, 4 Os 2.78, 2 Cd 2.93
5 Os 0.0000 0.5000 0.2533  6 Os 2.72-2.93, 2 Mg 2.73, 2 Cd 2.78
6 Os 0.0000 0.5000 0.7467  6 Os 2.72-2.93, 2 Mg 2.73, 2 Cd 2.78
7 Os 0.5000 0.0000 0.2467  6 Os 2.72-2.93, 2 Mg 2.73, 2 Cd 2.78
8 Os 0.5000 0.0000 0.7533  6 Os 2.72-2.93, 2 Mg 2.73, 2 Cd 2.78